A geometry-optimized Nd2Y2CBr4Cl structure, computed with PBE.

abc: 9.2479 9.2479 8.1608
angles: 102.54 102.54 24.23
With the nearest neighbours (Å) after each atom.
Fractional coordinates of all 10 atoms:
1 Br 0.8325 0.8325 0.6619  2 Y 2.87, 1 Nd 3.00
2 Br 0.1737 0.1737 0.8375  2 Y 2.91, 1 Nd 3.05
3 Br 0.1675 0.1675 0.3381  2 Y 2.87, 1 Nd 3.00
4 Br 0.8263 0.8263 0.1625  2 Y 2.91, 1 Nd 3.05
5 Nd 0.9986 0.9986 0.2134  2 C 2.61
6 Nd 0.0014 0.0014 0.7866  2 C 2.61
7 C 0.5000 0.5000 0.0000  2 Y 2.42, 4 Nd 2.61
8 Y 0.3629 0.3629 0.9269  1 C 2.42
9 Y 0.6371 0.6371 0.0731  1 C 2.42
10 Cl 0.5000 0.5000 0.5000  4 Nd 3.04

Properties
* polymorph energy (0 for the lowest one): 0 meV/atom
* final energy: -55.106 eV/cell
* ρ: 5.0 g/cm3